(1)
First-principles (PBE) data for a relaxed SrCe4Si4 crystal, as listed in Alexandria.

abc: 9.566 9.566 5.832
angles: 90.00 90.00 90.00
Positions (direct):
Sr 0.250 0.250 0.250
Sr 0.750 0.750 0.750
Ce 0.114 0.639 0.128
Ce 0.139 0.886 0.628
Ce 0.361 0.614 0.628
Ce 0.386 0.861 0.128
Ce 0.614 0.139 0.872
Ce 0.639 0.386 0.372
Ce 0.861 0.114 0.372
Ce 0.886 0.361 0.872
Si 0.048 0.583 0.636
Si 0.083 0.952 0.136
Si 0.417 0.548 0.136
Si 0.452 0.917 0.636
Si 0.548 0.083 0.364
Si 0.583 0.452 0.864
Si 0.917 0.048 0.864
Si 0.952 0.417 0.364

Summary:
Theoretical density: 4.73 g/cm3
Energy relative to the elements, uncorrected: -0.315 eV per atom
Energy: -99.9 eV per cell


(2)
First-principles (PBE) data for a relaxed SrCe2Si6 crystal, as listed in Alexandria.

abc: 7.097 7.097 4.250
angles: 90.00 90.00 120.00
Positions (direct):
Sr 0.000 0.000 0.000
Ce 0.333 0.667 0.000
Ce 0.667 0.333 0.000
Si 0.000 0.337 0.500
Si 0.000 0.663 0.500
Si 0.337 0.000 0.500
Si 0.337 0.337 0.500
Si 0.663 0.000 0.500
Si 0.663 0.663 0.500

Summary:
Theoretical density: 4.80 g/cm3
Energy relative to the elements, uncorrected: -0.524 eV per atom
Energy: -50.8 eV per cell


Q: The lowest energy belongs to which entry?
A: SrCe4Si4


Q: The lowest energy belongs to which entry?
A: SrCe4Si4


Repeat the second record exactly.
First-principles (PBE) data for a relaxed SrCe2Si6 crystal, as listed in Alexandria.

abc: 7.097 7.097 4.250
angles: 90.00 90.00 120.00
Positions (direct):
Sr 0.000 0.000 0.000
Ce 0.333 0.667 0.000
Ce 0.667 0.333 0.000
Si 0.000 0.337 0.500
Si 0.000 0.663 0.500
Si 0.337 0.000 0.500
Si 0.337 0.337 0.500
Si 0.663 0.000 0.500
Si 0.663 0.663 0.500

Summary:
Theoretical density: 4.80 g/cm3
Energy relative to the elements, uncorrected: -0.524 eV per atom
Energy: -50.8 eV per cell


Q: Among the records above, which one has the lowest theoretical density?
A: SrCe4Si4